(1)
# PBE Np2Fe3CoB12, optimized geometry
# theoretical density: 7.60 g cm⁻³
# calculated volume: 544.2 Å³/cell
# formation energy from the elements: 0.0517 eV per atom
# Fermi-level density of states: 0.578 states/eV/atom
# energy: -137.6 eV/f.u.
data_Np2Fe3CoB12
_chemical_formula_sum 'Np6 Fe9 Co3 B36'
_space_group_name_H-M_alt 'R -3 m'
_space_group_IT_number 166
_space_group_name_Hall '-R 3 2"'
_cell_length_a 5.3616
_cell_length_b 5.3616
_cell_length_c 21.8577
_cell_angle_alpha 90.00
_cell_angle_beta 90.00
_cell_angle_gamma 120.00
loop_
_atom_site_label
_atom_site_fract_x
_atom_site_fract_y
_atom_site_fract_z
Np1 0.0000 0.0000 0.1408
Fe1 0.0000 0.5000 0.0000
Co1 0.0000 0.0000 0.5000
B1 0.0826 0.5413 0.0950
B2 0.1082 0.2164 0.7410

---

(2)
# PBE NpPdRh, optimized geometry
# theoretical density: 13.36 g cm⁻³
# calculated volume: 111.0 Å³/cell
# energy above the lowest structure with this stoichiometry: 0.0 meV/atom
# formation energy from the elements: -0.1748 eV per atom
# Fermi-level density of states: 2.919 states/eV/atom
# energy: -26.0 eV/f.u.
data_NpPdRh
_chemical_formula_sum 'Np2 Pd2 Rh2'
_space_group_name_H-M_alt 'I 4 m m'
_space_group_IT_number 107
_space_group_name_Hall 'I 4 -2'
_cell_length_a 3.476
_cell_length_b 3.476
_cell_length_c 9.186
_cell_angle_alpha 90.00
_cell_angle_beta 90.00
_cell_angle_gamma 90.00
loop_
_atom_site_label
_atom_site_fract_x
_atom_site_fract_y
_atom_site_fract_z
Np1 0.000 0.000 0.000
Pd1 0.000 0.000 0.322
Rh1 0.000 0.000 0.649

---

(3)
# PBE SrCoBRh2, optimized geometry
# theoretical density: 7.96 g cm⁻³
# calculated volume: 75.7 Å³/cell
# formation energy from the elements: -0.1462 eV per atom
# Fermi-level density of states: 0.970 states/eV/atom
# energy: -30.9 eV/f.u.
data_SrCoBRh2
_chemical_formula_sum 'Sr1 Co1 B1 Rh2'
_space_group_name_H-M_alt 'P 4/m m m'
_space_group_IT_number 123
_space_group_name_Hall '-P 4 2'
_cell_length_a 4.277
_cell_length_b 4.277
_cell_length_c 4.141
_cell_angle_alpha 90.00
_cell_angle_beta 90.00
_cell_angle_gamma 90.00
loop_
_atom_site_label
_atom_site_fract_x
_atom_site_fract_y
_atom_site_fract_z
Sr1 0.000 0.000 0.000
Co1 0.500 0.500 0.000
B1 0.500 0.500 0.500
Rh1 0.000 0.500 0.500

---

(4)
# PBE AlOs2Pt, optimized geometry
# theoretical density: 16.83 g cm⁻³
# calculated volume: 118.9 Å³/cell
# formation energy from the elements: 0.2110 eV per atom
# Fermi-level density of states: 1.232 states/eV/atom
# energy: -31.4 eV/f.u.
data_AlOs2Pt
_chemical_formula_sum 'Al2 Os4 Pt2'
_space_group_name_H-M_alt 'C m m m'
_space_group_IT_number 65
_space_group_name_Hall '-C 2 2'
_cell_length_a 2.784
_cell_length_b 4.726
_cell_length_c 9.036
_cell_angle_alpha 90.00
_cell_angle_beta 90.00
_cell_angle_gamma 90.00
loop_
_atom_site_label
_atom_site_fract_x
_atom_site_fract_y
_atom_site_fract_z
Al1 0.000 0.000 0.000
Os1 0.000 0.500 0.234
Pt1 0.000 0.000 0.500

---

(5)
# PBE Pr3Nd2Se8, optimized geometry
# theoretical density: 5.15 g cm⁻³
# calculated volume: 866.7 Å³/cell
# E_form (uncorrected): -1.6856 eV per atom
# Fermi-level density of states: 0.582 states/eV/atom
# energy: -73.7 eV/f.u.
data_Pr3Nd2Se8
_chemical_formula_sum 'Pr6 Nd4 Se16'
_space_group_name_H-M_alt 'C 1 2/m 1'
_space_group_IT_number 12
_cell_length_a 14.771
_cell_length_b 8.602
_cell_length_c 7.265
_cell_angle_alpha 90.00
_cell_angle_beta 110.13
_cell_angle_gamma 90.00
loop_
_space_group_symop_operation_xyz
'x,y,z'
'-x,-y,-z'
'-x,y,-z'
'x,-y,z'
'x+1/2,y+1/2,z'
'-x+1/2,-y+1/2,-z'
'-x+1/2,y+1/2,-z'
'x+1/2,-y+1/2,z'
loop_
_atom_site_label
_atom_site_fract_x
_atom_site_fract_y
_atom_site_fract_z
Pr1 0.000 0.000 0.000
Pr2 0.000 0.263 0.500
Nd1 0.239 0.500 0.157
Se1 0.119 0.000 0.431
Se2 0.123 0.500 0.412
Se3 0.125 0.235 0.916

---

(6)
# PBE CsPdSe, optimized geometry
# theoretical density: 5.72 g cm⁻³
# calculated volume: 369.9 Å³/cell
# E_form (uncorrected): -0.6446 eV per atom
# Fermi-level density of states: 0.659 states/eV/atom
# energy: -11.5 eV/f.u.
data_CsPdSe
_chemical_formula_sum 'Cs4 Pd4 Se4'
_space_group_name_H-M_alt 'P 21 21 21'
_space_group_IT_number 19
_cell_length_a 4.352
_cell_length_b 7.458
_cell_length_c 11.396
_cell_angle_alpha 90.00
_cell_angle_beta 90.00
_cell_angle_gamma 90.00
loop_
_space_group_symop_operation_xyz
'x,y,z'
'-x+1/2,-y,z+1/2'
'x+1/2,-y+1/2,-z'
'-x,y+1/2,-z+1/2'
loop_
_atom_site_label
_atom_site_fract_x
_atom_site_fract_y
_atom_site_fract_z
Cs1 0.250 0.000 0.000
Pd1 0.249 0.332 0.250
Se1 0.249 0.333 0.750

---

(7)
# PBE ScMn2Te, optimized geometry
# theoretical density: 6.68 g cm⁻³
# calculated volume: 70.2 Å³/cell
# E_form (uncorrected): -0.0700 eV per atom
# Fermi-level density of states: 0.643 states/eV/atom
# energy: -28.1 eV/f.u.
data_ScMn2Te
_chemical_formula_sum 'Sc1 Mn2 Te1'
_space_group_name_H-M_alt 'P 4/m m m'
_space_group_IT_number 123
_space_group_name_Hall '-P 4 2'
_cell_length_a 4.142
_cell_length_b 4.142
_cell_length_c 4.091
_cell_angle_alpha 90.00
_cell_angle_beta 90.00
_cell_angle_gamma 90.00
loop_
_atom_site_label
_atom_site_fract_x
_atom_site_fract_y
_atom_site_fract_z
Sc1 0.000 0.000 0.000
Mn1 0.000 0.500 0.500
Te1 0.500 0.500 0.000

---

(8)
# PBE MgBe4Rh5, optimized geometry
# theoretical density: 8.18 g cm⁻³
# calculated volume: 116.7 Å³/cell
# formation energy from the elements: -0.5550 eV per atom
# Fermi-level density of states: 0.855 states/eV/atom
# energy: -58.8 eV/f.u.
data_MgBe4Rh5
_chemical_formula_sum 'Mg1 Be4 Rh5'
_space_group_name_H-M_alt 'P 4/m m m'
_space_group_IT_number 123
_space_group_name_Hall '-P 4 2'
_cell_length_a 2.827
_cell_length_b 2.827
_cell_length_c 14.600
_cell_angle_alpha 90.00
_cell_angle_beta 90.00
_cell_angle_gamma 90.00
loop_
_atom_site_label
_atom_site_fract_x
_atom_site_fract_y
_atom_site_fract_z
Mg1 0.000 0.000 0.000
Be1 0.000 0.000 0.218
Be2 0.000 0.000 0.405
Rh1 0.500 0.500 0.124
Rh2 0.500 0.500 0.312
Rh3 0.500 0.500 0.500

---

(9)
# PBE Tb4Pr3Tm2, optimized geometry
# theoretical density: 7.85 g cm⁻³
# calculated volume: 1180.8 Å³/cell
# energy above the lowest structure with this stoichiometry: 79.4 meV/atom
# formation energy from the elements: 0.0989 eV per atom
# Fermi-level density of states: 1.521 states/eV/atom
# energy: -40.9 eV/f.u.
data_Tb4Pr3Tm2
_chemical_formula_sum 'Tb16 Pr12 Tm8'
_space_group_name_H-M_alt 'C 1 2/c 1'
_space_group_IT_number 15
_cell_length_a 16.382
_cell_length_b 11.765
_cell_length_c 6.176
_cell_angle_alpha 90.00
_cell_angle_beta 97.29
_cell_angle_gamma 90.00
loop_
_space_group_symop_operation_xyz
'x,y,z'
'-x,-y,-z'
'-x,y,-z+1/2'
'x,-y,z+1/2'
'x+1/2,y+1/2,z'
'-x+1/2,-y+1/2,-z'
'-x+1/2,y+1/2,-z+1/2'
'x+1/2,-y+1/2,z+1/2'
loop_
_atom_site_label
_atom_site_fract_x
_atom_site_fract_y
_atom_site_fract_z
Tb1 0.060 0.121 0.039
Tb2 0.223 0.379 0.875
Pr1 0.000 0.358 0.750
Pr2 0.169 0.139 0.581
Tm1 0.106 0.382 0.299

---

(10)
# PBE Ba2PmCd, optimized geometry
# theoretical density: 5.18 g cm⁻³
# calculated volume: 512.0 Å³/cell
# energy above the lowest structure with this stoichiometry: 226.4 meV/atom
# formation energy from the elements: 0.2341 eV per atom
# Fermi-level density of states: 1.618 states/eV/atom
# energy: -8.6 eV/f.u.
data_Ba2PmCd
_chemical_formula_sum 'Ba6 Pm3 Cd3'
_space_group_name_H-M_alt 'R -3 m'
_space_group_IT_number 166
_space_group_name_Hall '-R 3 2"'
_cell_length_a 3.8969
_cell_length_b 3.8969
_cell_length_c 38.9295
_cell_angle_alpha 90.00
_cell_angle_beta 90.00
_cell_angle_gamma 120.00
loop_
_atom_site_label
_atom_site_fract_x
_atom_site_fract_y
_atom_site_fract_z
Ba1 0.0000 0.0000 0.0951
Pm1 0.0000 0.0000 0.0000
Cd1 0.0000 0.0000 0.5000

---

(11)
# PBE Dy3Zn4Ni4, optimized geometry
# theoretical density: 8.43 g cm⁻³
# calculated volume: 193.8 Å³/cell
# energy above the lowest structure with this stoichiometry: 26.3 meV/atom
# formation energy from the elements: -0.3758 eV per atom
# Fermi-level density of states: 0.627 states/eV/atom
# energy: -46.2 eV/f.u.
data_Dy3Zn4Ni4
_chemical_formula_sum 'Dy3 Zn4 Ni4'
_space_group_name_H-M_alt 'P -1'
_space_group_IT_number 2
_cell_length_a 3.738
_cell_length_b 3.963
_cell_length_c 13.357
_cell_angle_alpha 81.60
_cell_angle_beta 81.98
_cell_angle_gamma 89.99
loop_
_space_group_symop_operation_xyz
'x,y,z'
'-x,-y,-z'
loop_
_atom_site_label
_atom_site_fract_x
_atom_site_fract_y
_atom_site_fract_z
Dy1 0.000 0.000 0.000
Dy2 0.150 0.649 0.701
Zn1 0.251 0.252 0.498
Zn2 0.404 0.904 0.192
Ni1 0.311 0.812 0.377
Ni2 0.456 0.455 0.089

---

(12)
# PBE Zr2BrCl, optimized geometry
# theoretical density: 6.03 g cm⁻³
# calculated volume: 164.2 Å³/cell
# energy above the lowest structure with this stoichiometry: 627.9 meV/atom
# E_form (uncorrected): -0.5057 eV per atom
# Fermi-level density of states: 1.083 states/eV/atom
# energy: -22.6 eV/f.u.
data_Zr2BrCl
_chemical_formula_sum 'Zr4 Br2 Cl2'
_space_group_name_H-M_alt 'C 1 2/m 1'
_space_group_IT_number 12
_cell_length_a 9.184
_cell_length_b 3.254
_cell_length_c 5.639
_cell_angle_alpha 90.00
_cell_angle_beta 103.09
_cell_angle_gamma 90.00
loop_
_space_group_symop_operation_xyz
'x,y,z'
'-x,-y,-z'
'-x,y,-z'
'x,-y,z'
'x+1/2,y+1/2,z'
'-x+1/2,-y+1/2,-z'
'-x+1/2,y+1/2,-z'
'x+1/2,-y+1/2,z'
loop_
_atom_site_label
_atom_site_fract_x
_atom_site_fract_y
_atom_site_fract_z
Zr1 0.240 0.000 0.242
Br1 0.000 0.000 0.500
Cl1 0.000 0.500 0.000

---

(13)
# PBE Ta2TeOs, optimized geometry
# theoretical density: 15.75 g cm⁻³
# calculated volume: 143.3 Å³/cell
# E_form (uncorrected): 0.3605 eV per atom
# Fermi-level density of states: 0.961 states/eV/atom
# energy: -36.6 eV/f.u.
data_Ta2TeOs
_chemical_formula_sum 'Ta4 Te2 Os2'
_space_group_name_H-M_alt 'I -4 m 2'
_space_group_IT_number 119
_space_group_name_Hall 'I -4 -2'
_cell_length_a 3.955
_cell_length_b 3.955
_cell_length_c 9.163
_cell_angle_alpha 90.00
_cell_angle_beta 90.00
_cell_angle_gamma 90.00
loop_
_atom_site_label
_atom_site_fract_x
_atom_site_fract_y
_atom_site_fract_z
Ta1 0.000 0.000 0.000
Ta2 0.000 0.500 0.250
Te1 0.000 0.500 0.750
Os1 0.000 0.000 0.500

---

(14)
# PBE NdGd4Er, optimized geometry
# theoretical density: 7.68 g cm⁻³
# calculated volume: 813.1 Å³/cell
# formation energy from the elements: 0.2553 eV per atom
# Fermi-level density of states: 2.056 states/eV/atom
# energy: -64.1 eV/f.u.
data_NdGd4Er
_chemical_formula_sum 'Nd4 Gd16 Er4'
_space_group_name_H-M_alt 'F -4 3 m'
_space_group_IT_number 216
_space_group_name_Hall 'F -4 2 3'
_cell_length_a 9.333
_cell_length_b 9.333
_cell_length_c 9.333
_cell_angle_alpha 90.00
_cell_angle_beta 90.00
_cell_angle_gamma 90.00
loop_
_atom_site_label
_atom_site_fract_x
_atom_site_fract_y
_atom_site_fract_z
Nd1 0.000 0.000 0.000
Gd1 0.125 0.125 0.375
Er1 0.250 0.250 0.750

---

(15)
# PBE Er12Tl5Ag2, optimized geometry
# theoretical density: 9.89 g cm⁻³
# calculated volume: 1089.5 Å³/cell
# formation energy from the elements: -0.1146 eV per atom
# Fermi-level density of states: 1.057 states/eV/atom
# energy: -74.5 eV/f.u.
data_Er12Tl5Ag2
_chemical_formula_sum 'Er24 Tl10 Ag4'
_space_group_name_H-M_alt 'C 1 2/m 1'
_space_group_IT_number 12
_cell_length_a 17.007
_cell_length_b 7.189
_cell_length_c 8.971
_cell_angle_alpha 90.00
_cell_angle_beta 96.64
_cell_angle_gamma 90.00
loop_
_space_group_symop_operation_xyz
'x,y,z'
'-x,-y,-z'
'-x,y,-z'
'x,-y,z'
'x+1/2,y+1/2,z'
'-x+1/2,-y+1/2,-z'
'-x+1/2,y+1/2,-z'
'x+1/2,-y+1/2,z'
loop_
_atom_site_label
_atom_site_fract_x
_atom_site_fract_y
_atom_site_fract_z
Er1 0.004 0.000 0.192
Er2 0.042 0.500 0.686
Er3 0.149 0.243 0.010
Er4 0.157 0.259 0.420
Tl1 0.000 0.500 0.000
Tl2 0.200 0.000 0.735
Tl3 0.229 0.500 0.751
Ag1 0.000 0.183 0.500

---

(16)
# PBE NdSm6Hg, optimized geometry
# theoretical density: 7.87 g cm⁻³
# calculated volume: 789.7 Å³/cell
# formation energy from the elements: -0.0145 eV per atom
# Fermi-level density of states: 1.240 states/eV/atom
# energy: -33.5 eV/f.u.
data_NdSm6Hg
_chemical_formula_sum 'Nd3 Sm18 Hg3'
_space_group_name_H-M_alt 'R -3'
_space_group_IT_number 148
_space_group_name_Hall '-R 3'
_cell_length_a 9.4887
_cell_length_b 9.4887
_cell_length_c 10.1329
_cell_angle_alpha 90.00
_cell_angle_beta 90.00
_cell_angle_gamma 120.00
loop_
_atom_site_label
_atom_site_fract_x
_atom_site_fract_y
_atom_site_fract_z
Nd1 0.0000 0.0000 0.0000
Sm1 0.0266 0.2542 0.7127
Hg1 0.0000 0.0000 0.5000

---

(17)
# PBE Na4SmEr3S8, optimized geometry
# theoretical density: 4.53 g cm⁻³
# calculated volume: 1100.9 Å³/cell
# E_form (uncorrected): -1.8420 eV per atom
# Fermi-level density of states: 0.000 states/eV/atom
# energy: -86.2 eV/f.u.
data_Na4SmEr3S8
_chemical_formula_sum 'Na12 Sm3 Er9 S24'
_space_group_name_H-M_alt 'R -3 m'
_space_group_IT_number 166
_space_group_name_Hall '-R 3 2"'
_cell_length_a 7.9639
_cell_length_b 7.9639
_cell_length_c 20.0423
_cell_angle_alpha 90.00
_cell_angle_beta 90.00
_cell_angle_gamma 120.00
loop_
_atom_site_label
_atom_site_fract_x
_atom_site_fract_y
_atom_site_fract_z
Na1 0.0000 0.0000 0.0000
Na2 0.0000 0.5000 0.0000
Sm1 0.0000 0.0000 0.5000
Er1 0.0000 0.5000 0.5000
S1 0.0000 0.0000 0.2414
S2 0.0066 0.5033 0.7576

---

(18)
# PBE Tb3HoNi8, optimized geometry
# theoretical density: 10.00 g cm⁻³
# calculated volume: 553.4 Å³/cell
# formation energy from the elements: -0.4411 eV per atom
# Fermi-level density of states: 0.527 states/eV/atom
# energy: -70.0 eV/f.u.
data_Tb3HoNi8
_chemical_formula_sum 'Tb9 Ho3 Ni24'
_space_group_name_H-M_alt 'R 3 m'
_space_group_IT_number 160
_space_group_name_Hall 'R 3 -2"'
_cell_length_a 5.0666
_cell_length_b 5.0666
_cell_length_c 24.8911
_cell_angle_alpha 90.00
_cell_angle_beta 90.00
_cell_angle_gamma 120.00
loop_
_atom_site_label
_atom_site_fract_x
_atom_site_fract_y
_atom_site_fract_z
Tb1 0.0000 0.0000 0.0000
Tb2 0.0000 0.0000 0.1250
Tb3 0.0000 0.0000 0.6247
Ho1 0.0000 0.0000 0.4999
Ni1 0.0000 0.0000 0.3125
Ni2 0.0000 0.0000 0.8125
Ni3 0.9999 0.4999 0.5621
Ni4 0.0007 0.5003 0.0627

---

(19)
# PBE Nd3Zn2, optimized geometry
# theoretical density: 6.88 g cm⁻³
# calculated volume: 272.1 Å³/cell
# formation energy from the elements: -0.2442 eV per atom
# Fermi-level density of states: 0.962 states/eV/atom
# energy: -18.1 eV/f.u.
data_Nd3Zn2
_chemical_formula_sum 'Nd6 Zn4'
_space_group_name_H-M_alt 'I 4/m m m'
_space_group_IT_number 139
_space_group_name_Hall '-I 4 2'
_cell_length_a 3.716
_cell_length_b 3.716
_cell_length_c 19.706
_cell_angle_alpha 90.00
_cell_angle_beta 90.00
_cell_angle_gamma 90.00
loop_
_atom_site_label
_atom_site_fract_x
_atom_site_fract_y
_atom_site_fract_z
Nd1 0.000 0.000 0.000
Nd2 0.000 0.000 0.182
Zn1 0.000 0.000 0.408

---

(20)
# PBE Na8AgPb6, optimized geometry
# theoretical density: 5.25 g cm⁻³
# calculated volume: 1456.6 Å³/cell
# formation energy from the elements: -0.0705 eV per atom
# Fermi-level density of states: 0.522 states/eV/atom
# energy: -36.7 eV/f.u.
data_Na8AgPb6
_chemical_formula_sum 'Na24 Ag3 Pb18'
_space_group_name_H-M_alt 'R -3'
_space_group_IT_number 148
_space_group_name_Hall '-R 3'
_cell_length_a 9.1992
_cell_length_b 9.1992
_cell_length_c 19.8759
_cell_angle_alpha 90.00
_cell_angle_beta 90.00
_cell_angle_gamma 120.00
loop_
_atom_site_label
_atom_site_fract_x
_atom_site_fract_y
_atom_site_fract_z
Na1 0.0000 0.0000 0.1657
Na2 0.0011 0.6660 0.9546
Ag1 0.0000 0.0000 0.5000
Pb1 0.0005 0.3184 0.5417